## Sm2Th3Rh2 (GGA-PBE)

Data for Sm2Th3Rh2 after structural relaxation.

Properties
Electronic total energy   -100.2 eV per cell
Density   10.22 Mg/m³

Geometry as CIF:
```
data_Sm2Th3Rh2
_space_group_name_H-M_alt 'C 1 2/m 1'
_space_group_IT_number 12
_cell_length_a 11.9289
_cell_length_b 3.8605
_cell_length_c 9.0672
_cell_angle_alpha 90.00
_cell_angle_beta 110.69
_cell_angle_gamma 90.00
loop_
_space_group_symop_operation_xyz
'x,y,z'
'-x,-y,-z'
'-x,y,-z'
'x,-y,z'
'x+1/2,y+1/2,z'
'-x+1/2,-y+1/2,-z'
'-x+1/2,y+1/2,-z'
'x+1/2,-y+1/2,z'
loop_
_atom_site_label
_atom_site_type_symbol
_atom_site_fract_x
_atom_site_fract_y
_atom_site_fract_z
Sm1 Sm 0.1610 0.0000 0.2959
Th1 Th 0.0000 0.5000 0.5000
Th2 Th 0.1213 0.5000 0.9375
Rh1 Rh 0.1350 0.0000 0.7102
```